This record from Alexandria describes a geometry-optimized SrScCr3 structure. The functional is PBE.

Values from the calculation:
* energy of formation from the pure elements: 1.2333 eV per atom
* symmetry: No. 221
* excess energy over the best structure of this formula in the dataset: 0.00 eV/f.u.

Cell: 4.982 4.982 4.982 Å, 90.00 90.00 90.00°
Atoms (fractional coordinates):
Sr 0.000 0.000 0.000
Sc 0.500 0.500 0.500
Cr 0.000 0.500 0.500
Cr 0.500 0.000 0.500
Cr 0.500 0.500 0.000

---

This record from Alexandria describes a geometry-optimized Na5La3F12 structure. The functional is PBE.

Values from the calculation:
* raw total energy: -5.373 eV per atom
* symmetry: No. 230

Cell: 12.013 12.013 12.013 Å, 109.47 109.47 109.47°
Atoms (fractional coordinates):
Na 0.000 0.000 0.000
Na 0.000 0.000 0.500
Na 0.000 0.500 0.000
Na 0.000 0.500 0.500
Na 0.125 0.750 0.875
Na 0.125 0.875 0.250
Na 0.250 0.125 0.875
Na 0.250 0.625 0.375
Na 0.375 0.250 0.625
Na 0.375 0.625 0.750
Na 0.500 0.000 0.000
Na 0.500 0.000 0.500
Na 0.500 0.500 0.000
Na 0.500 0.500 0.500
Na 0.625 0.375 0.250
Na 0.625 0.750 0.375
Na 0.750 0.375 0.625
Na 0.750 0.875 0.125
Na 0.875 0.125 0.750
Na 0.875 0.250 0.125
La 0.125 0.250 0.375
La 0.125 0.375 0.750
La 0.250 0.375 0.125
La 0.250 0.875 0.625
La 0.375 0.125 0.250
La 0.375 0.750 0.125
La 0.625 0.250 0.875
La 0.625 0.875 0.750
La 0.750 0.125 0.375
La 0.750 0.625 0.875
La 0.875 0.625 0.250
La 0.875 0.750 0.625
F 0.053 0.224 0.141
F 0.053 0.329 0.912
F 0.083 0.724 0.671
F 0.083 0.859 0.412
F 0.088 0.641 0.417
F 0.088 0.947 0.671
F 0.141 0.053 0.224
F 0.141 0.588 0.917
F 0.171 0.224 0.583
F 0.171 0.447 0.588
F 0.224 0.141 0.053
F 0.224 0.583 0.171
F 0.276 0.329 0.917
F 0.276 0.447 0.359
F 0.329 0.912 0.053
F 0.329 0.917 0.276
F 0.359 0.276 0.447
F 0.359 0.583 0.912
F 0.412 0.083 0.859
F 0.412 0.829 0.553
F 0.417 0.088 0.641
F 0.417 0.829 0.776
F 0.447 0.359 0.276
F 0.447 0.588 0.171
F 0.553 0.412 0.829
F 0.553 0.641 0.724
F 0.583 0.171 0.224
F 0.583 0.912 0.359
F 0.588 0.171 0.447
F 0.588 0.917 0.141
F 0.641 0.417 0.088
F 0.641 0.724 0.553
F 0.671 0.083 0.724
F 0.671 0.088 0.947
F 0.724 0.553 0.641
F 0.724 0.671 0.083
F 0.776 0.417 0.829
F 0.776 0.859 0.947
F 0.829 0.553 0.412
F 0.829 0.776 0.417
F 0.859 0.412 0.083
F 0.859 0.947 0.776
F 0.912 0.053 0.329
F 0.912 0.359 0.583
F 0.917 0.141 0.588
F 0.917 0.276 0.329
F 0.947 0.671 0.088
F 0.947 0.776 0.859

---

This record from Alexandria describes a geometry-optimized ErMgAl2Pt2 structure. The functional is PBE.

Values from the calculation:
* energy of formation from the pure elements: -0.9866 eV per atom
* symmetry: No. 164

Cell: 4.409 4.409 6.469 Å, 90.00 90.00 120.00°
Atoms (fractional coordinates):
Er 0.000 0.000 0.000
Mg 0.000 0.000 0.500
Al 0.333 0.667 0.698
Al 0.667 0.333 0.302
Pt 0.333 0.667 0.275
Pt 0.667 0.333 0.725

---

This record from Alexandria describes a geometry-optimized MgSiW2 structure. The functional is PBE.

Values from the calculation:
* raw total energy: -7.908 eV per atom
* symmetry: No. 12

Cell: 5.145 5.145 2.730 Å, 99.37 99.37 115.45°
Atoms (fractional coordinates):
Mg 0.000 0.000 0.000
Si 0.500 0.500 0.000
W 0.000 0.500 0.500
W 0.500 0.000 0.500

---

This record from Alexandria describes a geometry-optimized ZrAl structure. The functional is PBE.

Values from the calculation:
* energy of formation from the pure elements: -0.3841 eV per atom
* symmetry: No. 19

Cell: 5.470 5.535 10.605 Å, 90.00 90.00 90.00°
Atoms (fractional coordinates):
Zr 0.118 0.112 0.012
Zr 0.131 0.617 0.808
Zr 0.369 0.383 0.308
Zr 0.382 0.888 0.512
Zr 0.618 0.388 0.988
Zr 0.631 0.883 0.192
Zr 0.869 0.117 0.692
Zr 0.882 0.612 0.488
Al 0.142 0.881 0.274
Al 0.161 0.605 0.077
Al 0.339 0.395 0.577
Al 0.358 0.119 0.774
Al 0.642 0.619 0.726
Al 0.661 0.895 0.923
Al 0.839 0.105 0.423
Al 0.858 0.381 0.226

---

This record from Alexandria describes a geometry-optimized K2ZrAg structure. The functional is PBE.

Values from the calculation:
* energy of formation from the pure elements: 0.7835 eV per atom
* symmetry: No. 139
* excess energy over the best structure of this formula in the dataset: 1.56 eV/f.u.

Cell: 6.947 6.947 6.947 Å, 142.72 142.72 53.74°
Atoms (fractional coordinates):
K 0.250 0.750 0.500
K 0.750 0.250 0.500
Zr 0.000 0.000 0.000
Ag 0.500 0.500 0.000

---

This record from Alexandria describes a geometry-optimized NaGaC3 structure. The functional is PBE.

Values from the calculation:
* energy of formation from the pure elements: 3.5998 eV per atom
* symmetry: No. 221
* excess energy over the best structure of this formula in the dataset: 5.86 eV/f.u.

Cell: 4.403 4.403 4.403 Å, 90.00 90.00 90.00°
Atoms (fractional coordinates):
Na 0.000 0.000 0.000
Ga 0.500 0.500 0.500
C 0.000 0.000 0.500
C 0.000 0.500 0.000
C 0.500 0.000 0.000

---

This record from Alexandria describes a geometry-optimized NaSi5Pd7 structure. The functional is PBE.

Values from the calculation:
* raw total energy: -5.411 eV per atom
* symmetry: No. 44

Cell: 6.669 6.669 6.669 Å, 134.21 98.27 99.14°
Atoms (fractional coordinates):
Na 0.000 0.000 0.000
Si 0.001 0.502 0.018
Si 0.001 0.983 0.499
Si 0.484 0.502 0.501
Si 0.484 0.983 0.982
Si 0.769 0.269 0.500
Pd 0.174 0.473 0.701
Pd 0.228 0.728 0.500
Pd 0.335 0.335 0.000
Pd 0.358 0.021 0.337
Pd 0.669 0.669 0.000
Pd 0.684 0.021 0.663
Pd 0.771 0.473 0.299

---

This record from Alexandria describes a geometry-optimized La2PmTm2 structure. The functional is PBE.

Values from the calculation:
* energy of formation from the pure elements: 0.1141 eV per atom
* symmetry: No. 127
* excess energy over the best structure of this formula in the dataset: 0.00 eV/f.u.

Cell: 9.388 9.388 3.882 Å, 90.00 90.00 90.00°
Atoms (fractional coordinates):
La 0.129 0.371 0.000
La 0.371 0.871 0.000
La 0.629 0.129 0.000
La 0.871 0.629 0.000
Pm 0.000 0.000 0.000
Pm 0.500 0.500 0.000
Tm 0.171 0.671 0.500
Tm 0.329 0.171 0.500
Tm 0.671 0.829 0.500
Tm 0.829 0.329 0.500

---

This record from Alexandria describes a geometry-optimized Nd3Lu structure. The functional is PBE.

Values from the calculation:
* energy of formation from the pure elements: 0.0360 eV per atom
* symmetry: No. 25
* excess energy over the best structure of this formula in the dataset: 0.09 eV/f.u.

Cell: 3.674 5.850 6.322 Å, 90.00 90.00 90.00°
Atoms (fractional coordinates):
Nd 0.000 0.000 0.000
Nd 0.000 0.500 0.336
Nd 0.500 0.500 0.835
Lu 0.500 0.000 0.502

---

This record from Alexandria describes a geometry-optimized CrGa structure. The functional is PBE.

Values from the calculation:
* energy of formation from the pure elements: 0.8634 eV per atom
* symmetry: No. 194

Cell: 4.391 4.391 4.978 Å, 90.00 90.00 120.00°
Atoms (fractional coordinates):
Cr 0.333 0.667 0.250
Cr 0.667 0.333 0.750
Ga 0.333 0.667 0.750
Ga 0.667 0.333 0.250

---

This record from Alexandria describes a geometry-optimized Ca2ScZn2 structure. The functional is PBE.

Values from the calculation:
* energy of formation from the pure elements: 0.1312 eV per atom
* symmetry: No. 139
* excess energy over the best structure of this formula in the dataset: 1.31 eV/f.u.

Cell: 7.072 7.072 7.072 Å, 141.94 141.94 54.93°
Atoms (fractional coordinates):
Ca 0.250 0.750 0.500
Ca 0.750 0.250 0.500
Sc 0.000 0.000 0.000
Zn 0.406 0.406 0.000
Zn 0.594 0.594 0.000

---

no.,size of the total moment (Bohr magnetons per cell)
1,10.96
2,3.68
3,0.00
4,0.00
5,0.00
6,1.88
7,0.00
8,0.00
9,0.00
10,0.00
11,6.08
12,0.69